(1)
Here is a relaxed NbNiSn2Te crystal from Alexandria. Energies are from PBE-GGA.

Cell lengths 5.503, 5.503, 4.622 Å; angles 90.00, 90.00, 90.00 degrees
Element x y z (fractional)
Nb1 0.000 0.000 0.000
Ni1 0.000 0.000 0.500
Sn1 0.000 0.500 0.000
Sn2 0.500 0.000 0.000
Te1 0.500 0.500 0.500

**Fermi-level density of states**: 7.04 states/eV/cell
**Total moment**: 0.0 μB per cell
**Formation energy (no corrections)**: 748 meV per atom
**SG**: P4/mmm, No. 123

***

(2)
Here is a relaxed YW2Se crystal from Alexandria. Energies are from PBE-GGA.

Cell lengths 8.348, 8.348, 8.348 Å; angles 23.73, 23.73, 23.73 degrees
Element x y z (fractional)
Y1 0.000 0.000 0.000
W1 0.500 0.500 0.500
W2 0.765 0.765 0.765
Se1 0.244 0.244 0.244

**Fermi-level density of states**: 2.16 states/eV/cell
**Total moment**: 0.0 μB per cell
**Formation energy (no corrections)**: 162 meV per atom
**SG**: R3m, No. 160

***

(3)
Here is a relaxed Sr4AlGa4 crystal from Alexandria. Energies are from PBE-GGA.

Cell lengths 9.607, 9.607, 5.923 Å; angles 90.00, 90.00, 90.00 degrees
Element x y z (fractional)
Sr1 0.055 0.821 0.114
Sr2 0.179 0.555 0.614
Sr3 0.321 0.945 0.614
Sr4 0.445 0.679 0.114
Sr5 0.555 0.321 0.886
Sr6 0.679 0.055 0.386
Sr7 0.821 0.445 0.386
Sr8 0.945 0.179 0.886
Al1 0.250 0.250 0.750
Al2 0.750 0.750 0.250
Ga1 0.091 0.213 0.386
Ga2 0.213 0.409 0.114
Ga3 0.287 0.091 0.114
Ga4 0.409 0.287 0.386
Ga5 0.591 0.713 0.614
Ga6 0.713 0.909 0.886
Ga7 0.787 0.591 0.886
Ga8 0.909 0.787 0.614

**Uncorrected energy**: -2.81 eV per atom
**Fermi-level density of states**: 9.03 states/eV/cell
**Total moment**: 0.0 μB per cell
**SG**: P4_2/n, No. 86

***

(4)
Here is a relaxed YTc2O8 crystal from Alexandria. Energies are from PBE-GGA.

Cell lengths 6.360, 6.360, 5.622 Å; angles 95.40, 95.40, 89.78 degrees
Element x y z (fractional)
Y1 0.000 0.000 0.000
Tc1 0.235 0.235 0.640
Tc2 0.765 0.765 0.360
O1 0.001 0.706 0.216
O2 0.177 0.177 0.325
O3 0.294 0.999 0.784
O4 0.424 0.424 0.724
O5 0.576 0.576 0.276
O6 0.706 0.001 0.216
O7 0.823 0.823 0.675
O8 0.999 0.294 0.784

**Fermi-level density of states**: 4.34 states/eV/cell
**Energy above the lowest structure with this stoichiometry**: 0.0 meV/atom
**Total moment**: 1.1 μB per cell
**Formation energy (no corrections)**: -1751 meV per atom
**SG**: C2/m, No. 12

***

(5)
Here is a relaxed Ce2H2Se crystal from Alexandria. Energies are from PBE-GGA.

Cell lengths 7.521, 7.521, 7.521 Å; angles 150.26, 150.01, 42.74 degrees
Element x y z (fractional)
Ce1 0.154 0.154 0.000
Ce2 0.846 0.846 0.000
H1 0.255 0.755 0.500
H2 0.745 0.245 0.500
Se1 0.000 0.500 0.500

**Fermi-level density of states**: 14.08 states/eV/cell
**Energy above the lowest structure with this stoichiometry**: 132.3 meV/atom
**Total moment**: 2.2 μB per cell
**SG**: Immm, No. 71

***

(6)
Here is a relaxed PmSmB crystal from Alexandria. Energies are from PBE-GGA.

Cell lengths 5.100, 5.500, 5.503 Å; angles 92.76, 90.00, 90.00 degrees
Element x y z (fractional)
Pm1 0.000 0.000 0.000
Pm2 0.500 0.050 0.552
Sm1 0.500 0.550 0.052
Sm2 0.999 0.499 0.502
B1 0.499 0.574 0.576
B2 0.500 0.075 0.077

**Uncorrected energy**: -5.23 eV per atom
**Fermi-level density of states**: 7.03 states/eV/cell
**Total moment**: 0.0 μB per cell
**SG**: P1, No. 1

***

(7)
Here is a relaxed Sm4DyZn5 crystal from Alexandria. Energies are from PBE-GGA.

Cell lengths 3.624, 3.624, 18.151 Å; angles 90.00, 90.00, 90.00 degrees
Element x y z (fractional)
Sm1 0.000 0.000 0.101
Sm2 0.000 0.000 0.303
Sm3 0.000 0.000 0.697
Sm4 0.000 0.000 0.899
Dy1 0.000 0.000 0.500
Zn1 0.500 0.500 0.000
Zn2 0.500 0.500 0.201
Zn3 0.500 0.500 0.405
Zn4 0.500 0.500 0.595
Zn5 0.500 0.500 0.799

**Uncorrected energy**: -3.31 eV per atom
**Fermi-level density of states**: 11.87 states/eV/cell
**Total moment**: 0.0 μB per cell
**SG**: P4/mmm, No. 123

***

(8)
Here is a relaxed LiCePrSm crystal from Alexandria. Energies are from PBE-GGA.

Cell lengths 5.512, 5.512, 5.512 Å; angles 60.00, 60.00, 60.00 degrees
Element x y z (fractional)
Li1 0.000 0.000 0.000
Ce1 0.500 0.500 0.500
Pr1 0.250 0.250 0.250
Sm1 0.750 0.750 0.750

**Uncorrected energy**: -4.06 eV per atom
**Fermi-level density of states**: 10.14 states/eV/cell
**Total moment**: 2.4 μB per cell
**SG**: F-43m, No. 216

***

(9)
Here is a relaxed BaZr2Se crystal from Alexandria. Energies are from PBE-GGA.

Cell lengths 10.806, 10.806, 10.806 Å; angles 154.25, 154.25, 36.74 degrees
Element x y z (fractional)
Ba1 0.000 0.000 0.000
Ba2 0.750 0.250 0.500
Zr1 0.269 0.625 0.144
Zr2 0.375 0.519 0.644
Zr3 0.481 0.125 0.856
Zr4 0.875 0.731 0.356
Se1 0.250 0.750 0.500
Se2 0.500 0.500 0.000

**Fermi-level density of states**: 5.30 states/eV/cell
**Total moment**: 0.0 μB per cell
**Formation energy (no corrections)**: -57 meV per atom
**SG**: I-42d, No. 122

***

(10)
Here is a relaxed Sm2Dy3Tm6Pu crystal from Alexandria. Energies are from PBE-GGA.

Cell lengths 6.096, 6.096, 11.587 Å; angles 95.04, 95.04, 120.02 degrees
Element x y z (fractional)
Sm1 0.167 0.833 0.000
Sm2 0.833 0.167 0.000
Dy1 0.000 0.000 0.500
Dy2 0.333 0.667 0.500
Dy3 0.667 0.333 0.500
Tm1 0.088 0.417 0.750
Tm2 0.254 0.254 0.250
Tm3 0.417 0.088 0.750
Tm4 0.583 0.912 0.250
Tm5 0.746 0.746 0.750
Tm6 0.912 0.583 0.250
Pu1 0.500 0.500 0.000

**Uncorrected energy**: -5.32 eV per atom
**Fermi-level density of states**: 24.16 states/eV/cell
**Total moment**: 6.3 μB per cell
**SG**: C2/m, No. 12

***

(11)
Here is a relaxed AlPt2W crystal from Alexandria. Energies are from PBE-GGA.

Cell lengths 4.796, 4.796, 4.912 Å; angles 100.56, 100.56, 33.79 degrees
Element x y z (fractional)
Al1 0.000 0.000 0.000
Pt1 0.262 0.262 0.818
Pt2 0.496 0.496 0.508
W1 0.745 0.745 0.311

**Uncorrected energy**: -7.61 eV per atom
**Fermi-level density of states**: 3.73 states/eV/cell
**Total moment**: 0.0 μB per cell
**SG**: Cm, No. 8

***

(12)
Here is a relaxed Er4Bi3H4 crystal from Alexandria. Energies are from PBE-GGA.

Cell lengths 8.224, 8.224, 8.224 Å; angles 150.90, 124.86, 63.55 degrees
Element x y z (fractional)
Er1 0.211 0.211 0.000
Er2 0.273 0.500 0.773
Er3 0.727 0.500 0.227
Er4 0.789 0.789 0.000
Bi1 0.000 0.000 0.000
Bi2 0.378 0.878 0.500
Bi3 0.622 0.122 0.500
H1 0.001 0.669 0.331
H2 0.338 0.669 0.669
H3 0.662 0.331 0.331
H4 0.999 0.331 0.669

**Uncorrected energy**: -4.36 eV per atom
**Fermi-level density of states**: 3.20 states/eV/cell
**Total moment**: 0.0 μB per cell
**SG**: Immm, No. 71

***

(13)
Here is a relaxed PaPtRh crystal from Alexandria. Energies are from PBE-GGA.

Cell lengths 7.143, 7.143, 7.143 Å; angles 37.38, 37.38, 37.38 degrees
Element x y z (fractional)
Pa1 0.000 0.000 0.000
Pa2 0.184 0.184 0.184
Pt1 0.465 0.465 0.465
Pt2 0.743 0.743 0.743
Rh1 0.330 0.330 0.330
Rh2 0.600 0.600 0.600

**Fermi-level density of states**: 5.96 states/eV/cell
**Energy above the lowest structure with this stoichiometry**: 231.7 meV/atom
**Total moment**: 0.0 μB per cell
**SG**: R3m, No. 160

***

(14)
Here is a relaxed Er6PtRh2 crystal from Alexandria. Energies are from PBE-GGA.

Cell lengths 8.231, 8.231, 8.231 Å; angles 111.81, 110.78, 105.88 degrees
Element x y z (fractional)
Er1 0.026 0.830 0.196
Er2 0.249 0.560 0.311
Er3 0.249 0.938 0.689
Er4 0.271 0.323 0.594
Er5 0.271 0.677 0.948
Er6 0.366 0.170 0.196
Er7 0.634 0.830 0.804
Er8 0.729 0.323 0.052
Er9 0.729 0.677 0.406
Er10 0.751 0.062 0.311
Er11 0.751 0.440 0.689
Er12 0.974 0.170 0.804
Pt1 0.000 0.500 0.500
Pt2 0.500 0.000 0.500
Rh1 0.000 0.166 0.166
Rh2 0.000 0.834 0.834
Rh3 0.368 0.368 0.000
Rh4 0.632 0.632 0.000

**Uncorrected energy**: -6.09 eV per atom
**Fermi-level density of states**: 14.08 states/eV/cell
**Total moment**: 0.0 μB per cell
**SG**: Immm, No. 71

***

(15)
Here is a relaxed Dy4TmHg crystal from Alexandria. Energies are from PBE-GGA.

Cell lengths 8.173, 8.173, 6.329 Å; angles 99.83, 99.83, 115.89 degrees
Element x y z (fractional)
Dy1 0.090 0.712 0.956
Dy2 0.164 0.403 0.623
Dy3 0.288 0.910 0.544
Dy4 0.403 0.164 0.123
Dy5 0.597 0.836 0.877
Dy6 0.712 0.090 0.456
Dy7 0.836 0.597 0.377
Dy8 0.910 0.288 0.044
Tm1 0.407 0.593 0.250
Tm2 0.593 0.407 0.750
Hg1 0.001 0.999 0.250
Hg2 0.999 0.001 0.750

**Fermi-level density of states**: 16.36 states/eV/cell
**Energy above the lowest structure with this stoichiometry**: 99.2 meV/atom
**Total moment**: 0.0 μB per cell
**SG**: C2/c, No. 15

***

(16)
Here is a relaxed NaCaTbBr6 crystal from Alexandria. Energies are from PBE-GGA.

Cell lengths 7.340, 7.340, 13.286 Å; angles 90.00, 90.00, 120.00 degrees
Element x y z (fractional)
Na1 0.000 0.000 0.000
Na2 0.000 0.000 0.500
Ca1 0.333 0.667 0.250
Ca2 0.667 0.333 0.750
Tb1 0.333 0.667 0.750
Tb2 0.667 0.333 0.250
Br1 0.009 0.356 0.629
Br2 0.009 0.653 0.871
Br3 0.347 0.356 0.871
Br4 0.347 0.991 0.629
Br5 0.356 0.009 0.129
Br6 0.356 0.347 0.371
Br7 0.644 0.653 0.629
Br8 0.644 0.991 0.871
Br9 0.653 0.009 0.371
Br10 0.653 0.644 0.129
Br11 0.991 0.347 0.129
Br12 0.991 0.644 0.371

**Fermi-level density of states**: 0.00 states/eV/cell
**Total moment**: 0.0 μB per cell
**Formation energy (no corrections)**: -1862 meV per atom
**SG**: P-31c, No. 163

***

(17)
Here is a relaxed KFeCl6 crystal from Alexandria. Energies are from PBE-GGA.

Cell lengths 6.389, 6.389, 8.296 Å; angles 114.59, 114.59, 84.79 degrees
Element x y z (fractional)
K1 0.000 0.000 0.000
Fe1 0.500 0.500 0.500
Cl1 0.126 0.490 0.340
Cl2 0.479 0.479 0.111
Cl3 0.490 0.126 0.340
Cl4 0.510 0.874 0.660
Cl5 0.521 0.521 0.889
Cl6 0.874 0.510 0.660

**Fermi-level density of states**: 1.66 states/eV/cell
**Energy above the lowest structure with this stoichiometry**: 41.0 meV/atom
**Total moment**: 3.0 μB per cell
**Formation energy (no corrections)**: -758 meV per atom
**SG**: C2/m, No. 12

***

(18)
Here is a relaxed CsNdS2 crystal from Alexandria. Energies are from PBE-GGA.

Cell lengths 8.467, 8.467, 8.467 Å; angles 29.08, 29.08, 29.08 degrees
Element x y z (fractional)
Cs1 0.000 0.000 0.000
Nd1 0.500 0.500 0.500
S1 0.229 0.229 0.229
S2 0.771 0.771 0.771

**Fermi-level density of states**: 0.00 states/eV/cell
**Energy above the lowest structure with this stoichiometry**: 1.3 meV/atom
**Total moment**: 0.0 μB per cell
**Formation energy (no corrections)**: -1810 meV per atom
**SG**: R-3m, No. 166

***

(19)
Here is a relaxed Pr12Er6Sc crystal from Alexandria. Energies are from PBE-GGA.

Cell lengths 8.687, 8.687, 8.687 Å; angles 89.10, 89.10, 89.10 degrees
Element x y z (fractional)
Pr1 0.035 0.935 0.285
Pr2 0.065 0.715 0.965
Pr3 0.137 0.480 0.314
Pr4 0.285 0.035 0.935
Pr5 0.314 0.137 0.480
Pr6 0.480 0.314 0.137
Pr7 0.520 0.686 0.863
Pr8 0.686 0.863 0.520
Pr9 0.715 0.965 0.065
Pr10 0.863 0.520 0.686
Pr11 0.935 0.285 0.035
Pr12 0.965 0.065 0.715
Er1 0.213 0.758 0.600
Er2 0.242 0.400 0.787
Er3 0.400 0.787 0.242
Er4 0.600 0.213 0.758
Er5 0.758 0.600 0.213
Er6 0.787 0.242 0.400
Sc1 0.500 0.500 0.500

**Uncorrected energy**: -4.66 eV per atom
**Fermi-level density of states**: 32.71 states/eV/cell
**Total moment**: 0.0 μB per cell
**SG**: R-3, No. 148